[1]
Density functional theory data (GGA-PBEsol) for a relaxed InHg2Rh crystal.

Output
DFT formation energy	0.066	eV per atom
DOS at the Fermi energy	2.37	states/eV per cell
SG	P4/mmm
total magnetization	0.00	μB/f.u.

POSCAR file:
```
InHg2Rh
1.0
4.1194 0.0000 0.0000
0.0000 4.1194 0.0000
0.0000 0.0000 4.3413
Hg In Rh
2 1 1
Direct
0.0000 0.5000 0.0000
0.5000 0.0000 0.0000
0.5000 0.5000 0.5000
0.0000 0.0000 0.5000
```

[2]
Density functional theory data (GGA-PBEsol) for a relaxed InHg2Ru crystal.

Output
DFT formation energy	0.301	eV per atom
DOS at the Fermi energy	2.10	states/eV per cell
SG	P4/mmm
total magnetization	0.00	μB/f.u.

POSCAR file:
```
InHg2Ru
1.0
-0.7579 -3.2300 -2.4961
-2.4624 -1.6631 2.8997
-3.3149 2.0463 -1.6414
Hg In Ru
2 1 1
Direct
0.0000 0.5000 0.0000
0.5000 0.0000 0.0000
0.5000 0.5000 0.5000
0.0000 0.0000 0.5000
```

[3]
Density functional theory data (GGA-PBEsol) for a relaxed InHg2Ru crystal.

Output
DFT formation energy	0.275	eV per atom
DOS at the Fermi energy	2.35	states/eV per cell
SG	Cm
total magnetization	0.00	μB/f.u.

POSCAR file:
```
InHg2Ru
1.0
-0.9764 1.0412 -2.9687
4.4191 -1.0535 -1.8229
-2.9365 -4.3724 1.2598
Hg In Ru
2 1 1
Direct
0.9813 0.0487 0.9627
0.7469 0.2003 0.4938
0.5219 0.5862 0.0437
0.2499 0.6648 0.4998
```

[4]
Density functional theory data (GGA-PBEsol) for a relaxed In2HgRu crystal.

Output
DFT formation energy	0.222	eV per atom
DOS at the Fermi energy	2.37	states/eV per cell
SG	Pmm2
total magnetization	0.00	μB/f.u.

POSCAR file:
```
In2HgRu
1.0
3.1755 0.0334 0.0000
-0.0506 4.9752 0.0000
0.0000 0.0000 4.7448
Hg In Ru
1 2 1
Direct
0.3748 0.1967 0.5000
0.8749 0.0660 0.0000
0.8749 0.6756 0.5000
0.3754 0.5617 0.0000
```

[5]
Density functional theory data (GGA-PBEsol) for a relaxed InHgRu crystal.

Output
DFT formation energy	0.753	eV per atom
DOS at the Fermi energy	2.80	states/eV per cell
SG	F-43m
total magnetization	0.00	μB/f.u.

POSCAR file:
```
InHgRu
1.0
-3.8608 1.3053 -1.7781
-3.6888 -2.3813 0.7019
-3.2201 1.6066 2.6116
Hg In Ru
1 1 1
Direct
0.7500 0.7500 0.7500
0.0000 0.0000 0.0000
0.5000 0.5000 0.5000
```

[6]
Density functional theory data (GGA-PBEsol) for a relaxed In2HgRu crystal.

Output
DFT formation energy	0.200	eV per atom
DOS at the Fermi energy	2.11	states/eV per cell
SG	Pmm2
total magnetization	0.01	μB/f.u.

POSCAR file:
```
In2HgRu
1.0
3.4478 0.0000 0.0000
0.0000 3.8877 0.0000
0.0000 0.0000 5.6998
Hg In Ru
1 2 1
Direct
0.5000 0.5000 0.7558
0.0000 0.0000 0.9858
0.5000 0.5000 0.2814
0.0000 0.0000 0.4770
```

[7]
Density functional theory data (GGA-PBEsol) for a relaxed InHg2Ru crystal.

Output
DFT formation energy	0.405	eV per atom
DOS at the Fermi energy	3.48	states/eV per cell
SG	P4/mmm
total magnetization	1.13	μB/f.u.

POSCAR file:
```
InHg2Ru
1.0
-1.9041 1.8401 1.4082
-0.4691 -2.0910 2.0981
6.7103 3.2878 4.7770
Hg In Ru
2 1 1
Direct
0.0000 0.0000 0.7117
0.0000 0.0000 0.2883
0.5000 0.5000 0.0000
0.5000 0.5000 0.5000
```

[8]
Density functional theory data (GGA-PBEsol) for a relaxed InHg2Ru crystal.

Output
DFT formation energy	0.277	eV per atom
DOS at the Fermi energy	2.12	states/eV per cell
SG	Pmm2
total magnetization	0.00	μB/f.u.

POSCAR file:
```
InHg2Ru
1.0
3.4514 0.0000 0.0000
0.0000 3.6474 0.0000
0.0000 0.0000 5.9747
Hg In Ru
2 1 1
Direct
0.0000 0.0000 0.9928
0.5000 0.5000 0.2450
0.0000 0.0000 0.5285
0.5000 0.5000 0.7336
```

[9]
Density functional theory data (GGA-PBEsol) for a relaxed In2HgRu crystal.

Output
DFT formation energy	0.159	eV per atom
DOS at the Fermi energy	1.49	states/eV per cell
SG	Cm
total magnetization	0.00	μB/f.u.

POSCAR file:
```
In2HgRu
1.0
-2.3323 -1.5167 1.7690
1.9889 -4.3519 -1.1090
3.0380 2.8861 3.4077
Hg In Ru
1 2 1
Direct
0.7706 0.2010 0.5413
0.0039 0.0435 0.0079
0.2268 0.6610 0.4535
0.4986 0.5944 0.9973
```

[10]
Density functional theory data (GGA-PBEsol) for a relaxed InHg2Ru crystal.

Output
DFT formation energy	0.278	eV per atom
DOS at the Fermi energy	2.71	states/eV per cell
SG	I4/mmm
total magnetization	0.00	μB/f.u.

POSCAR file:
```
InHg2Ru
1.0
3.9920 0.0000 0.0000
0.0000 3.9920 0.0000
-1.9960 -1.9960 4.6328
Hg In Ru
2 1 1
Direct
0.7500 0.2500 0.5000
0.2500 0.7500 0.5000
0.5000 0.5000 0.0000
0.0000 0.0000 0.0000
```

[11]
Density functional theory data (GGA-PBEsol) for a relaxed In3HgS crystal.

Output
DOS at the Fermi energy	1.62	states/eV per cell
ΔE_f (raw)	0.347	eV/atom
SG	Pm-3m
total magnetization	0.00	μB/f.u.

POSCAR file:
```
In3HgS
1.0
-4.8727 0.9756 -1.9202
0.6161 -3.9199 -3.5548
-2.0638 -3.4734 3.4725
S Hg In
1 1 3
Direct
0.5000 0.5000 0.5000
0.0000 0.0000 0.0000
0.0000 0.5000 0.0000
0.0000 0.0000 0.5000
0.5000 0.0000 0.0000
```

[12]
Density functional theory data (GGA-PBEsol) for a relaxed InHg2TeS crystal.

Output
DOS at the Fermi energy	4.08	states/eV per cell
ΔE_f (raw)	0.606	eV/atom
SG	P4/mmm
total magnetization	0.00	μB/f.u.

POSCAR file:
```
InHg2TeS
1.0
5.2520 0.0000 0.0000
0.0000 5.2520 0.0000
0.0000 0.0000 5.7270
S Te Hg In
1 1 2 1
Direct
0.5000 0.5000 0.5000
0.0000 0.0000 0.5000
0.0000 0.5000 0.0000
0.5000 0.0000 0.0000
0.0000 0.0000 0.0000
```

[13]
Density functional theory data (GGA-PBEsol) for a relaxed TlInHgS3 crystal.

Output
ΔE_f (raw)	-0.412	eV/atom
SG	C2/c
total magnetization	0.00	μB/f.u.

POSCAR file:
```
TlInHgS3
1.0
3.9113 0.0000 0.0000
1.9557 6.8676 0.0229
1.9557 1.7820 20.6707
Tl In Hg S
4 4 4 12
Direct
0.8763 0.0892 0.9230
0.8885 0.4108 0.5770
0.1237 0.9108 0.0770
0.1115 0.5892 0.4230
0.6839 0.6630 0.8254
0.1722 0.8370 0.6746
0.3161 0.3370 0.1746
0.8278 0.1630 0.3254
0.4198 0.2500 0.7500
0.5802 0.7500 0.2500
0.0000 0.5000 0.0000
0.5000 0.0000 0.5000
0.3033 0.3985 0.8498
0.5515 0.1015 0.6502
0.6967 0.6015 0.1502
0.4485 0.8985 0.3498
0.0756 0.9135 0.7960
0.7852 0.5865 0.7040
0.9244 0.0865 0.2040
0.2148 0.4135 0.2960
0.5556 0.7399 0.9448
0.2402 0.7601 0.5552
0.4444 0.2601 0.0552
0.7598 0.2399 0.4448
```

[14]
Density functional theory data (GGA-PBEsol) for a relaxed InHgSb crystal.

Output
DOS at the Fermi energy	1.62	states/eV per cell
ΔE_f (raw)	0.075	eV/atom
SG	I4mm
total magnetization	0.00	μB/f.u.

POSCAR file:
```
InHgSb
1.0
3.9013 0.0000 0.0000
0.0000 3.9013 0.0000
-1.9506 -1.9506 4.9239
Hg In Sb
1 1 1
Direct
0.9998 0.9998 0.9996
0.6674 0.6674 0.3348
0.3328 0.3328 0.6656
```

[15]
Density functional theory data (GGA-PBEsol) for a relaxed InHgSb3 crystal.

Output
DOS at the Fermi energy	4.91	states/eV per cell
ΔE_f (raw)	0.787	eV/atom
SG	Pm-3m
total magnetization	0.00	μB/f.u.

POSCAR file:
```
InHgSb3
1.0
5.5514 0.0000 0.0000
0.0000 5.5514 0.0000
0.0000 0.0000 5.5514
Sb Hg In
3 1 1
Direct
0.0000 0.5000 0.0000
0.0000 0.0000 0.5000
0.5000 0.0000 0.0000
0.5000 0.5000 0.5000
0.0000 0.0000 0.0000
```

[16]
Density functional theory data (GGA-PBEsol) for a relaxed InHg4Sb crystal.

Output
DOS at the Fermi energy	3.19	states/eV per cell
ΔE_f (raw)	0.157	eV/atom
SG	F-43m
total magnetization	0.00	μB/f.u.

POSCAR file:
```
InHg4Sb
1.0
-2.4523 -0.6445 -5.3818
3.4562 -0.9357 -4.7510
0.0219 -5.3209 -2.6610
Hg In Sb
4 1 1
Direct
0.3753 0.3753 0.3753
0.3753 0.3753 0.8742
0.8742 0.3753 0.3753
0.3753 0.8742 0.3753
0.7500 0.7500 0.7500
0.0000 0.0000 0.0000
```

[17]
Density functional theory data (GGA-PBEsol) for a relaxed Sc2InHg2 crystal.

Output
DFT formation energy	-0.458	eV per atom
DOS at the Fermi energy	7.26	states/eV per cell
SG	P4/mbm
total magnetization	0.00	μB/f.u.

POSCAR file:
```
Sc2InHg2
1.0
-3.4446 -0.6717 0.8930
2.3004 -2.7241 6.8244
-0.5941 7.0587 3.0179
Sc Hg In
4 4 2
Direct
0.5000 0.1693 0.6693
0.5000 0.6693 0.8307
0.5000 0.8307 0.3307
0.5000 0.3307 0.1693
0.0000 0.3690 0.8690
0.0000 0.8690 0.6310
0.0000 0.6310 0.1310
0.0000 0.1310 0.3690
0.0000 0.0000 0.0000
0.0000 0.5000 0.5000
```

[18]
Density functional theory data (GGA-PBEsol) for a relaxed Sc2InHg crystal.

Output
DFT formation energy	-0.419	eV per atom
DOS at the Fermi energy	3.92	states/eV per cell
SG	Imm2
total magnetization	0.00	μB/f.u.

POSCAR file:
```
Sc2InHg
1.0
-0.8520 2.4336 2.3084
-3.6606 -2.7585 1.5571
5.3758 -2.0254 1.5251
Sc Hg In
2 1 1
Direct
0.9997 0.9997 0.9994
0.7617 0.2617 0.5233
0.5046 0.5046 0.0093
0.2340 0.7340 0.4680
```

[19]
Density functional theory data (GGA-PBEsol) for a relaxed Sc2InHg crystal.

Output
DFT formation energy	-0.517	eV per atom
DOS at the Fermi energy	3.86	states/eV per cell
SG	P4/mmm
total magnetization	0.00	μB/f.u.

POSCAR file:
```
Sc2InHg
1.0
-2.4318 1.8154 1.5919
-2.1983 -0.7303 -2.5254
-2.0990 -5.9136 3.5374
Sc Hg In
2 1 1
Direct
0.0000 0.0000 0.7560
0.0000 0.0000 0.2440
0.5000 0.5000 0.0000
0.5000 0.5000 0.5000
```

[20]
Density functional theory data (GGA-PBEsol) for a relaxed Sc2InHg crystal.

Output
DFT formation energy	-0.511	eV per atom
DOS at the Fermi energy	4.14	states/eV per cell
SG	Fm-3m
total magnetization	0.04	μB/f.u.

POSCAR file:
```
Sc2InHg
1.0
-4.8512 0.8653 0.2038
-2.9651 -3.1312 2.3935
-2.0875 1.3489 4.2600
Sc Hg In
2 1 1
Direct
0.2500 0.2500 0.2500
0.7500 0.7500 0.7500
0.0000 0.0000 0.0000
0.5000 0.5000 0.5000
```